DFT (PBE) results for a geometry-optimized Cs2OsO6 structure.

Computed properties:
DOS(E_F) = 0.968 states/eV/cell
VASP energy = -5.567 eV/atom
SG = No. 12
V = 193.8 Å³/f.u.
Formation energy (no corrections) = -0.82 eV per atom

a b c (Å): 5.004 6.400 7.237
angles (deg): 116.25 108.92 90.00
Last column: magnetic moment on the atom in μB.
Fractional coordinates of all 9 atoms:
O 0.500 0.106 0.000  0.41
O 0.109 0.908 0.215  0.00
O 0.500 0.894 0.000  0.41
O 0.109 0.307 0.215  0.00
O 0.891 0.693 0.785  0.00
O 0.891 0.092 0.785  0.00
Cs 0.328 0.334 0.668  0.00
Cs 0.672 0.666 0.332  0.00
Os 0.000 0.000 0.000  -0.02